! Cd12Hg3O5 | Alexandria via LeMat-Bulk | PBE-GGA | optimized geometry; values from VASP
&SYSTEM
  ibrav = 0, nat = 80, ntyp = 3
/
ATOMIC_SPECIES
Hg 200.59 Hg.upf
O 16.00 O.upf
Cd 112.41 Cd.upf
CELL_PARAMETERS angstrom
-3.730 5.976 -10.880
-10.433 -2.949 7.104
7.775 7.841 6.789
ATOMIC_POSITIONS angstrom
Hg -5.738 4.356 -4.648
Hg -10.117 3.998 -3.343
Hg -4.364 4.930 5.491
Hg 0.679 4.066 0.714
Hg -2.624 6.821 -6.935
Hg -5.976 2.358 2.057
Hg -0.413 8.510 0.955
Hg -3.764 4.048 9.948
Hg -7.067 6.803 2.299
Hg -2.024 5.938 -2.478
Hg 3.728 6.871 6.356
Hg -0.650 6.512 7.660
O -2.435 1.601 3.001
O -5.216 -1.474 3.552
O 0.000 0.000 0.000
O -3.035 2.484 -1.455
O 2.022 6.909 -2.046
O -7.081 1.514 -1.888
O -5.375 1.476 6.514
O 2.701 10.974 -1.332
O -6.403 5.580 -1.174
O 3.128 7.753 1.899
O -9.516 3.115 1.113
O -3.194 5.434 1.506
O -1.865 2.988 -5.440
O 3.887 3.920 3.394
O 0.014 5.289 4.187
O -9.089 -0.106 4.345
O -1.329 2.446 6.946
O -1.013 9.393 -3.501
O -3.353 8.384 4.468
O -3.953 9.267 0.011
Cd -3.602 4.133 -6.740
Cd -3.462 3.602 3.116
Cd -5.418 6.938 -5.853
Cd -3.290 3.416 -3.490
Cd -4.336 6.829 3.171
Cd -8.304 5.515 -5.188
Cd -6.300 2.723 4.882
Cd -8.852 -1.276 6.254
Cd -7.016 5.974 5.180
Cd -7.471 3.910 -2.242
Cd -4.855 6.369 -2.608
Cd -12.387 2.407 -2.202
Cd -3.723 2.717 7.409
Cd -5.022 1.860 -0.600
Cd -6.905 0.926 8.072
Cd 1.872 6.652 0.389
Cd -0.632 1.696 1.655
Cd -8.223 1.470 0.283
Cd -10.208 4.500 -0.522
Cd -3.958 0.146 2.207
Cd -5.447 5.644 8.048
Cd -5.441 4.838 0.722
Cd -7.843 7.201 -0.570
Cd 0.751 10.856 -0.212
Cd -0.947 6.030 2.291
Cd 1.454 3.667 3.582
Cd -7.140 0.013 3.225
Cd 3.820 6.369 3.535
Cd -0.942 5.224 -5.035
Cd -2.430 10.723 0.806
Cd 1.835 9.399 2.730
Cd -8.260 4.216 2.623
Cd -5.756 9.172 1.357
Cd 0.516 9.943 -5.060
Cd -2.665 8.152 -4.396
Cd 5.998 8.462 5.214
Cd -1.366 9.009 3.613
Cd 0.628 4.894 -2.167
Cd 1.083 6.959 5.255
Cd -1.533 4.500 5.620
Cd 2.464 12.145 -3.241
Cd -0.089 8.146 -1.870
Cd -3.098 7.453 6.502
Cd 1.916 5.354 8.201
Cd -2.052 4.040 -0.158
Cd -0.970 3.931 8.866
Cd -2.927 7.266 -0.103
Cd -2.786 6.735 9.752
! Total energy   -2.21 eV/atom
! ΔE_f (raw)   -735 kJ/mol of formula units
! Size of the total moment   0.000 μB per formula unit
! DOS at the Fermi energy   0.178 states/eV/atom
! Space-group type   Ia-3d, No. 230


! CaMg2H2 | Alexandria via LeMat-Bulk | PBE-GGA | optimized geometry; values from VASP
&SYSTEM
  ibrav = 0, nat = 10, ntyp = 3
/
ATOMIC_SPECIES
H 1.01 H.upf
Ca 40.08 Ca.upf
Mg 24.30 Mg.upf
CELL_PARAMETERS angstrom
-5.653 -1.192 2.422
-0.018 -5.604 -2.799
1.956 -1.835 3.661
ATOMIC_POSITIONS angstrom
H -1.081 -4.087 -1.471
H -3.910 -5.366 -0.601
H -4.589 -2.709 1.094
H -1.761 -1.430 0.224
Ca 0.000 0.000 0.000
Ca -2.835 -3.398 -0.188
Mg 0.003 -4.878 0.367
Mg -2.826 -6.366 1.133
Mg -3.717 -3.753 2.918
Mg -0.888 -2.266 2.152
! Total energy   -2.49 eV/atom
! Size of the total moment   0.000 μB per formula unit
! DOS at the Fermi energy   0.077 states/eV/atom
! Space-group type   P4/mbm, No. 127


! Pm2DyTlN | Alexandria via LeMat-Bulk | PBE-GGA | optimized geometry; values from VASP
&SYSTEM
  ibrav = 0, nat = 5, ntyp = 4
/
ATOMIC_SPECIES
Pm 145.00 Pm.upf
Dy 162.50 Dy.upf
Tl 204.38 Tl.upf
N 14.01 N.upf
CELL_PARAMETERS angstrom
-0.706 1.297 -4.594
-1.538 -4.631 -1.071
-4.697 1.307 1.091
ATOMIC_POSITIONS angstrom
Pm -2.349 0.654 0.545
Pm -0.769 -2.316 -0.536
Dy -0.353 0.649 -2.297
Tl -3.470 -1.014 -2.287
N 0.000 0.000 0.000
! Total energy   -5.83 eV/atom
! ΔE_f (raw)   -421 kJ/mol of formula units
! Size of the total moment   0.000 μB per formula unit
! DOS at the Fermi energy   0.474 states/eV/atom
! Space-group type   P4/mmm, No. 123


! Ba2NaSn2 | Alexandria via LeMat-Bulk | PBE-GGA | optimized geometry; values from VASP
&SYSTEM
  ibrav = 0, nat = 10, ntyp = 3
/
ATOMIC_SPECIES
Na 22.99 Na.upf
Ba 137.33 Ba.upf
Sn 118.71 Sn.upf
CELL_PARAMETERS angstrom
-10.318 -1.400 1.215
0.752 -9.442 -4.493
0.587 -1.501 3.252
ATOMIC_POSITIONS angstrom
Na 0.000 0.000 0.000
Na -4.783 -5.421 -1.639
Ba -3.179 -8.750 -3.465
Ba -8.521 -7.153 -1.764
Ba -6.387 -2.092 0.187
Ba -1.045 -3.688 -1.514
Sn -0.956 -7.313 -1.177
Sn -5.994 -9.526 -1.290
Sn -8.024 -5.030 1.152
Sn -2.985 -2.817 1.264
! Total energy   -2.95 eV/atom
! ΔH_f (0 K)   -0.319 eV per atom
! Size of the total moment   0.000 μB per formula unit
! DOS at the Fermi energy   0.539 states/eV/atom
! Space-group type   P4/mbm, No. 127


! CrRuPt | Alexandria via LeMat-Bulk | PBE-GGA | optimized geometry; values from VASP
&SYSTEM
  ibrav = 0, nat = 3, ntyp = 3
/
ATOMIC_SPECIES
Cr 52.00 Cr.upf
Pt 195.08 Pt.upf
Ru 101.07 Ru.upf
CELL_PARAMETERS angstrom
4.931 0.008 0.000
2.953 3.950 0.000
-3.942 -1.979 2.205
ATOMIC_POSITIONS angstrom
Cr 0.137 0.069 0.000
Pt 2.679 1.345 0.000
Ru 5.068 2.544 0.000
! Total energy   -8.19 eV/atom
! ΔH_f (0 K)   0.124 eV per atom
! Size of the total moment   0.696 μB per formula unit
! DOS at the Fermi energy   1.242 states/eV/atom
! Space-group type   I4mm, No. 107


! Li3HoAg4 | Alexandria via LeMat-Bulk | PBE-GGA | optimized geometry; values from VASP
&SYSTEM
  ibrav = 0, nat = 8, ntyp = 3
/
ATOMIC_SPECIES
Ho 164.93 Ho.upf
Ag 107.87 Ag.upf
Li 6.94 Li.upf
CELL_PARAMETERS angstrom
3.381 0.000 0.000
0.000 3.381 0.000
0.000 0.000 12.751
ATOMIC_POSITIONS angstrom
Ho 1.691 1.691 0.000
Ag 0.000 0.000 10.777
Ag 0.000 0.000 1.974
Ag 0.000 0.000 4.903
Ag 0.000 0.000 7.847
Li 1.691 1.691 3.432
Li 1.691 1.691 6.375
Li 1.691 1.691 9.319
! Total energy   -2.93 eV/atom
! ΔH_f (0 K)   -0.216 eV per atom
! Size of the total moment   0.000 μB per formula unit
! DOS at the Fermi energy   0.507 states/eV/atom
! Space-group type   P4/mmm, No. 123


! TaSe7 | Alexandria via LeMat-Bulk | PBE-GGA | optimized geometry; values from VASP
&SYSTEM
  ibrav = 0, nat = 8, ntyp = 2
/
ATOMIC_SPECIES
Ta 180.95 Ta.upf
Se 78.96 Se.upf
CELL_PARAMETERS angstrom
4.558 -3.959 0.724
-0.620 -4.684 3.828
-0.511 -5.656 -2.174
ATOMIC_POSITIONS angstrom
Ta 0.000 0.000 0.000
Se 1.969 -4.322 2.276
Se 2.024 -4.808 -0.725
Se 2.279 -1.980 0.362
Se -0.256 -2.828 -1.087
Se -0.310 -2.342 1.914
Se -0.566 -5.170 0.827
Se 1.713 -7.150 1.189
! Total energy   -3.85 eV/atom
! ΔE_f (raw)   525 kJ/mol of formula units
! Size of the total moment   1.939 μB per formula unit
! DOS at the Fermi energy   1.106 states/eV/atom
! Space-group type   Fm-3m, No. 225


! PmCd3Au | Alexandria via LeMat-Bulk | PBE-GGA | optimized geometry; values from VASP
&SYSTEM
  ibrav = 0, nat = 5, ntyp = 3
/
ATOMIC_SPECIES
Pm 145.00 Pm.upf
Cd 112.41 Cd.upf
Au 196.97 Au.upf
CELL_PARAMETERS angstrom
5.523 -0.647 0.000
-1.888 5.231 0.000
-1.817 -2.291 4.568
ATOMIC_POSITIONS angstrom
Pm 0.000 0.000 3.572
Cd 2.762 -0.323 1.497
Cd -0.943 2.616 1.497
Cd 0.000 -0.001 0.380
Au 1.818 2.292 2.160
! Total energy   -2.41 eV/atom
! ΔH_f (0 K)   -0.252 eV per atom
! Size of the total moment   0.000 μB per formula unit
! DOS at the Fermi energy   0.297 states/eV/atom
! Space-group type   Fmm2, No. 42